{
  "formula": "Mn4Ru",
  "functional": "PBE",
  "state": "optimized geometry",
  "relative_energy_ev_per_atom": 0.0000,
  "delta_e_f_mev_per_atom": 153,
  "space_group": "P-1, No. 2",
  "dos_ef_per_ev_atom": 1.0197,
  "lattice": [[-2.7223, 2.5971, 1.6898], [-1.2983, -3.5845, -1.6281], [4.6689, -0.7300, 8.6353]],
  "species": ["Ru", "Ru", "Mn", "Mn", "Mn", "Mn", "Mn", "Mn", "Mn", "Mn"],
  "frac_coords": [[0.2999, 0.0998, 0.2500], [0.3001, 0.1003, 0.7500], [0.8956, 0.2914, 0.6441], [0.4989, 0.4979, 0.0476], [0.5028, 0.5057, 0.5553], [0.0974, 0.6948, 0.9447], [0.7044, 0.9089, 0.8559], [0.1011, 0.7018, 0.4524], [0.9027, 0.3051, 0.1533], [0.6971, 0.8943, 0.3466]]
}


{
  "formula": "Pm4CdAg2Pd",
  "functional": "PBE",
  "state": "optimized geometry",
  "delta_e_f_mev_per_atom": -409,
  "space_group": "R-3m, No. 166",
  "dos_ef_per_ev_atom": 0.8774,
  "lattice": [[-3.3168, -1.8334, -3.6606], [-4.5911, -2.1457, 1.4425], [-6.3737, 6.3599, -1.2024]],
  "species": ["Pm", "Pm", "Pm", "Pm", "Ag", "Ag", "Cd", "Pd"],
  "frac_coords": [[0.8697, 0.8697, 0.3910], [0.6183, 0.6183, 0.1451], [0.3817, 0.3817, 0.8549], [0.1303, 0.1303, 0.6090], [0.2577, 0.2577, 0.2268], [0.7423, 0.7423, 0.7732], [0.0000, 0.0000, 0.0000], [0.5000, 0.5000, 0.5000]]
}


{
  "formula": "MgAl2As",
  "functional": "PBE",
  "state": "optimized geometry",
  "relative_energy_ev_per_atom": 0.0915,
  "delta_e_f_mev_per_atom": 22,
  "space_group": "P2/m, No. 10",
  "dos_ef_per_ev_atom": 0.3356,
  "lattice": [[4.6949, 0.0000, 0.0000], [0.0000, 2.9346, 0.0908], [0.0000, 0.6891, 5.4749]],
  "species": ["Al", "Al", "Mg", "As"],
  "frac_coords": [[0.0000, 0.1788, 0.0004], [0.0000, 0.3212, 0.4996], [0.5000, 0.7500, 0.7500], [0.5000, 0.2500, 0.2500]]
}


{
  "formula": "SbOs2Br",
  "functional": "PBE",
  "state": "optimized geometry",
  "e_form_raw_ev_per_atom": 1.222,
  "relative_energy_ev_per_atom": 0.7960,
  "space_group": "Cmmm, No. 65",
  "dos_ef_per_ev_atom": 0.8022,
  "lattice": [[3.1305, 0.0029, 0.0000], [-1.6209, 2.6782, 0.0000], [0.0000, 0.0000, 8.8122]],
  "species": ["Sb", "Br", "Os", "Os"],
  "frac_coords": [[0.5000, 0.5000, 0.2500], [0.5000, 0.5000, 0.7500], [0.0000, 0.0000, 0.4869], [0.0000, 0.0000, 0.0131]]
}


{
  "formula": "PuPaIr2",
  "functional": "PBE",
  "state": "optimized geometry",
  "relative_energy_ev_per_atom": 0.1560,
  "delta_e_f_mev_per_atom": -551,
  "space_group": "Fm-3m, No. 225",
  "dos_ef_per_ev_atom": 2.2159,
  "lattice": [[-1.9104, -3.3280, 3.0119], [-0.3452, -4.6562, -1.4134], [2.8676, -3.3842, 2.0299]],
  "species": ["Ir", "Ir", "Pa", "Pu"],
  "frac_coords": [[0.2500, 0.2500, 0.2500], [0.7500, 0.7500, 0.7500], [0.0000, 0.0000, 0.0000], [0.5000, 0.5000, 0.5000]]
}


{
  "formula": "RbSi",
  "functional": "PBE",
  "state": "optimized geometry",
  "e_form_raw_ev_per_atom": 1.227,
  "relative_energy_ev_per_atom": 1.2756,
  "space_group": "F-43m, No. 216",
  "lattice": [[-6.1234, -0.3141, 5.6912], [-2.1153, -7.6312, -2.6971], [5.2928, -3.4132, 5.5064]],
  "species": ["Si", "Si", "Si", "Si", "Rb", "Rb", "Rb", "Rb"],
  "frac_coords": [[0.7500, 0.7500, 0.2500], [0.2500, 0.2500, 0.2500], [0.7500, 0.2500, 0.7500], [0.2500, 0.7500, 0.7500], [0.5000, 0.5000, 0.0000], [0.0000, 0.0000, 0.0000], [0.0000, 0.5000, 0.5000], [0.5000, 0.0000, 0.5000]]
}


| no. | total magnetization (μB per formula unit) |
| --- | --- |
| 1 | 6.18 |
| 2 | 0.00 |
| 3 | 0.00 |
| 4 | 0.00 |
| 5 | 5.83 |
| 6 | 3.00 |